1.
Below is an optimized crystal structure of P2RhBr, with properties calculated at the PBE level.

abc: 3.1391 3.1391 7.5201
angles: 90.00 90.00 90.00
Space group P4mm (No. 99)
One atom of each set of equivalent atoms:
P  0.0000  0.0000  0.0000 x1
P  0.5000  0.5000  0.1444 x1
Rh  0.0000  0.0000  0.3149 x1
Br  0.5000  0.5000  0.5827 x1

Summary:
Energy relative to the elements, uncorrected: 0.65 eV/f.u.

2.
Below is an optimized crystal structure of Ac3SiPb, with properties calculated at the PBE level.

abc: 5.9373 5.9373 5.9373
angles: 90.00 90.00 90.00
Space group Pm-3m (No. 221)
One atom of each set of equivalent atoms:
Ac  0.0000  0.0000  0.5000 x3
Si  0.0000  0.0000  0.0000 x1
Pb  0.5000  0.5000  0.5000 x1

Summary:
Energy relative to the elements, uncorrected: -1.24 eV/f.u.

3.
Below is an optimized crystal structure of MgAgOs, with properties calculated at the PBE level.

abc: 2.6639 4.2932 8.6169
angles: 90.00 90.00 90.00
Space group Imm2 (No. 44)
One atom of each set of equivalent atoms:
Mg  0.0000  0.0000  0.0000 x2
Ag  0.0000  0.0000  0.3288 x2
Os  0.0000  0.0000  0.6607 x2

Summary:
Energy relative to the elements: 41.3 kJ/mol of atoms

4.
Below is an optimized crystal structure of NaDy2Sc3Te6, with properties calculated at the PBE level.

abc: 18.6884 4.2457 8.6226
angles: 90.00 103.89 90.00
Space group C2/m (No. 12)
One atom of each set of equivalent atoms:
Na  0.0000  0.0000  0.0000 x2
Dy  0.1684  0.5000  0.3382 x4
Sc  0.0000  0.0000  0.5000 x2
Sc  0.1650  0.5000  0.8212 x4
Te  0.0017  0.5000  0.7401 x4
Te  0.1625  0.0000  0.5887 x4
Te  0.1714  0.0000  0.0742 x4

Summary:
Energy relative to the elements, uncorrected: -14.39 eV/f.u.

5.
Below is an optimized crystal structure of TbPu5N6, with properties calculated at the PBE level.

abc: 6.0345 10.4466 5.9998
angles: 90.00 109.63 90.00
Space group C2/m (No. 12)
One atom of each set of equivalent atoms:
Tb  0.0000  0.0000  0.0000 x2
Pu  0.0000  0.1655  0.5000 x4
Pu  0.0000  0.3336  0.0000 x4
Pu  0.0000  0.5000  0.5000 x2
N  0.2462  0.3310  0.7487 x8
N  0.2458  0.5000  0.2519 x4

Summary:
Energy relative to the elements, uncorrected: -15.15 eV/f.u.

6.
Below is an optimized crystal structure of AcSmHg2, with properties calculated at the PBE level.

abc: 4.0469 4.0469 27.9587
angles: 90.00 90.00 120.00
Space group R3m (No. 160, hexagonal axes)
One atom of each set of equivalent atoms:
Ac  0.0000  0.0000  0.0000 x3
Sm  0.0000  0.0000  0.8333 x3
Hg  0.0000  0.0000  0.4222 x3
Hg  0.0000  0.0000  0.5776 x3

Summary:
Energy relative to the elements: -30.9 kJ/mol of atoms

7.
Below is an optimized crystal structure of NaTi2Br8, with properties calculated at the PBE level.

abc: 13.3939 10.3879 6.8941
angles: 90.00 96.78 90.00
Space group C2/m (No. 12)
One atom of each set of equivalent atoms:
Na  0.0000  0.0000  0.0000 x2
Ti  0.1991  0.0000  0.6547 x4
Br  0.1138  0.1837  0.7656 x8
Br  0.1318  0.5000  0.2069 x4
Br  0.1875  0.0000  0.3065 x4

Summary:
Energy relative to the elements, uncorrected: -13.41 eV/f.u.

8.
Below is an optimized crystal structure of Cs3PdI, with properties calculated at the PBE level.

abc: 10.1660 4.9814 11.5870
angles: 90.00 99.94 90.00
Space group P2_1/m (No. 11)
One atom of each set of equivalent atoms:
Cs  0.1094  0.2500  0.2731 x2
Cs  0.2848  0.2500  0.9556 x2
Cs  0.3056  0.7500  0.5826 x2
Pd  0.0235  0.2500  0.5356 x2
I  0.4208  0.7500  0.2272 x2

Summary:
Energy relative to the elements, uncorrected: -2.78 eV/f.u.

9.
Below is an optimized crystal structure of HgRhO2, with properties calculated at the PBE level.

abc: 9.8564 9.9333 10.3148
angles: 90.00 112.75 90.00
Space group C2/c (No. 15)
One atom of each set of equivalent atoms:
Hg  0.0834  0.0148  0.4059 x8
Hg  0.1458  0.2800  0.5788 x8
Rh  0.1363  0.3612  0.2352 x8
Rh  0.1831  0.3756  0.8998 x8
O  0.0000  0.2128  0.2500 x4
O  0.0000  0.2941  0.7500 x4
O  0.0795  0.4399  0.3933 x8
O  0.1860  0.2897  0.0799 x8
O  0.2406  0.4679  0.7583 x8

Summary:
Energy relative to the elements, uncorrected: -1.45 eV/f.u.

10.
Below is an optimized crystal structure of LaMgMo4, with properties calculated at the PBE level.

abc: 7.7782 7.7782 7.7782
angles: 90.00 90.00 90.00
Space group F-43m (No. 216)
One atom of each set of equivalent atoms:
La  0.0000  0.0000  0.0000 x4
Mg  0.2500  0.2500  0.7500 x4
Mo  0.1252  0.1252  0.3748 x16

Summary:
Energy relative to the elements: 36.3 kJ/mol of atoms

11.
Below is an optimized crystal structure of Ho2AgBi, with properties calculated at the PBE level.

abc: 5.0693 5.0693 4.0692
angles: 90.00 90.00 90.00
Space group P4/mmm (No. 123)
One atom of each set of equivalent atoms:
Ho  0.0000  0.5000  0.0000 x2
Ag  0.0000  0.0000  0.5000 x1
Bi  0.5000  0.5000  0.5000 x1

Summary:
Energy relative to the elements: -42.8 kJ/mol of atoms

12.
Below is an optimized crystal structure of ScAuSe2, with properties calculated at the PBE level.

abc: 5.9304 5.9304 12.5411
angles: 90.00 90.00 90.00
Space group I-42d (No. 122)
One atom of each set of equivalent atoms:
Sc  0.0000  0.0000  0.0000 x4
Au  0.0000  0.0000  0.5000 x4
Se  0.2424  0.2500  0.1250 x8

Summary:
Energy relative to the elements, uncorrected: -3.43 eV/f.u.

13.
Below is an optimized crystal structure of ErAgC2O6, with properties calculated at the PBE level.

abc: 9.2880 8.7350 7.1861
angles: 90.00 118.89 90.00
Space group C2/c (No. 15)
One atom of each set of equivalent atoms:
Er  0.0000  0.0844  0.2500 x4
Ag  0.0000  0.4231  0.7500 x4
C  0.2411  0.1380  0.7751 x8
O  0.0942  0.1141  0.6131 x8
O  0.1578  0.2703  0.2360 x8
O  0.2288  0.4424  0.0567 x8

Summary:
Energy relative to the elements, uncorrected: -17.99 eV/f.u.

14.
Below is an optimized crystal structure of HfNb2B2Ru5, with properties calculated at the PBE level.

abc: 9.4975 9.4975 3.0522
angles: 90.00 90.00 90.00
Space group P4/mbm (No. 127)
One atom of each set of equivalent atoms:
Hf  0.0000  0.0000  0.0000 x2
Nb  0.1766  0.3234  0.0000 x4
B  0.1217  0.6217  0.0000 x4
Ru  0.0000  0.5000  0.5000 x2
Ru  0.0716  0.7788  0.5000 x8

Summary:
Energy relative to the elements: -49.5 kJ/mol of atoms

15.
Below is an optimized crystal structure of BaCrBr2, with properties calculated at the PBE level.

abc: 7.9816 7.9816 7.9816
angles: 90.00 90.00 90.00
Space group F-43m (No. 216)
One atom of each set of equivalent atoms:
Ba  0.0000  0.0000  0.0000 x4
Cr  0.2500  0.2500  0.2500 x4
Br  0.0000  0.0000  0.5000 x4
Br  0.2500  0.2500  0.7500 x4

Summary:
Energy relative to the elements, uncorrected: -2.02 eV/f.u.

16.
Below is an optimized crystal structure of LaReTc, with properties calculated at the PBE level.

abc: 3.1351 3.1351 12.3149
angles: 90.00 90.00 90.00
Space group I4mm (No. 107)
One atom of each set of equivalent atoms:
La  0.0000  0.0000  0.0000 x2
Re  0.0000  0.0000  0.3030 x2
Tc  0.0000  0.0000  0.6995 x2

Summary:
Energy relative to the elements: 18.5 kJ/mol of atoms

17.
Below is an optimized crystal structure of BaLiCa, with properties calculated at the PBE level.

abc: 14.7116 4.1285 8.5224
angles: 90.00 106.17 90.00
Space group C2/m (No. 12)
One atom of each set of equivalent atoms:
Ba  0.1485  0.0000  0.3146 x4
Li  0.0000  0.5000  0.0000 x2
Li  0.0000  0.5000  0.5000 x2
Ca  0.1422  0.0000  0.8310 x4

Summary:
Energy relative to the elements: 5.2 kJ/mol of atoms

18.
Below is an optimized crystal structure of La6MgIn2, with properties calculated at the PBE level.

abc: 9.7273 9.7273 3.3328
angles: 90.00 90.00 120.00
Space group P6/mmm (No. 191)
One atom of each set of equivalent atoms:
La  0.0000  0.3398  0.0000 x6
Mg  0.0000  0.0000  0.5000 x1
In  0.3333  0.6667  0.5000 x2

Summary:
Energy relative to the elements: -14.0 kJ/mol of atoms

19.
Below is an optimized crystal structure of AcPm4Y4, with properties calculated at the PBE level.

abc: 6.3202 8.9557 11.5356
angles: 104.80 100.50 90.48
Space group P-1 (No. 2)
One atom of each set of equivalent atoms:
Ac  0.1671  0.4177  0.2501 x2
Pm  0.0545  0.8090  0.4184 x2
Pm  0.0566  0.3025  0.9145 x2
Pm  0.1701  0.9189  0.7493 x2
Pm  0.2788  0.0247  0.0828 x2
Y  0.2778  0.5277  0.5837 x2
Y  0.3891  0.6394  0.9196 x2
Y  0.3911  0.1363  0.4189 x2
Y  0.4967  0.2476  0.7486 x2

Summary:
Energy relative to the elements: 2.5 kJ/mol of atoms

20.
Below is an optimized crystal structure of LiTbGe2, with properties calculated at the PBE level.

abc: 3.4142 3.4142 6.5571
angles: 90.00 90.00 90.00
Space group P4/mmm (No. 123)
One atom of each set of equivalent atoms:
Li  0.0000  0.0000  0.0000 x1
Tb  0.0000  0.0000  0.5000 x1
Ge  0.5000  0.5000  0.2038 x2

Summary:
Energy relative to the elements: -41.7 kJ/mol of atoms

21.
Below is an optimized crystal structure of LiSmDySc, with properties calculated at the PBE level.

abc: 7.5956 7.5956 7.5956
angles: 90.00 90.00 90.00
Space group F-43m (No. 216)
One atom of each set of equivalent atoms:
Li  0.0000  0.0000  0.0000 x4
Sm  0.2500  0.2500  0.7500 x4
Dy  0.2500  0.2500  0.2500 x4
Sc  0.0000  0.0000  0.5000 x4

Summary:
Energy relative to the elements: 14.3 kJ/mol of atoms

22.
Below is an optimized crystal structure of TbPrNd5, with properties calculated at the PBE level.

abc: 9.5946 3.7081 14.3751
angles: 90.00 105.02 90.00
Space group P2_1/m (No. 11)
One atom of each set of equivalent atoms:
Tb  0.1632  0.2500  0.1976 x2
Pr  0.3989  0.7500  0.3843 x2
Nd  0.0913  0.2500  0.4234 x2
Nd  0.1483  0.2500  0.7784 x2
Nd  0.1673  0.7500  0.9917 x2
Nd  0.3012  0.7500  0.6236 x2
Nd  0.4926  0.2500  0.1208 x2

Summary:
Energy relative to the elements: 6.2 kJ/mol of atoms

The energy results, record by record, are as follows: -4.798; -4.539; -4.798; -5.230; -11.783; -2.678; -3.991; -2.417; -4.755; -7.931; -4.416; -5.001; -7.360; -9.496; -4.228; -9.056; -1.892; -4.216; -5.415; -4.377; -4.243; -4.686 eV per atom.